No. 1
! La2NiH6Pd (PBE-GGA, optimized geometry); values from VASP
&SYSTEM
  ibrav = 0, nat = 10, ntyp = 4
/
ATOMIC_SPECIES
La 138.91 La.upf
H 1.01 H.upf
Ni 58.69 Ni.upf
Pd 106.42 Pd.upf
CELL_PARAMETERS angstrom
-0.752 5.283 0.526
-4.332 -0.881 3.035
4.689 -2.207 1.270
ATOMIC_POSITIONS crystal
La 0.750 0.250 0.500
La 0.250 0.750 0.500
H 0.235 0.236 0.471
H 0.770 0.230 0.000
H 0.764 0.765 0.529
H 0.773 0.774 0.000
H 0.227 0.227 0.999
H 0.230 0.771 0.000
Ni 0.000 0.000 0.000
Pd 0.499 0.500 0.000
! **Total moment**: 0.0 μB/f.u.
! **SG**: C2/m, No. 12
! **Crystal system**: monoclinic
! **Final energy**: -4.598 eV/atom

=====

No. 2
! KYP2 (PBE-GGA, optimized geometry); values from VASP
&SYSTEM
  ibrav = 0, nat = 4, ntyp = 3
/
ATOMIC_SPECIES
P 30.97 P.upf
Y 88.91 Y.upf
K 39.10 K.upf
CELL_PARAMETERS angstrom
3.361 0.000 0.000
0.000 3.361 0.000
0.000 0.000 8.383
ATOMIC_POSITIONS crystal
P 0.000 0.000 0.035
P 0.000 0.000 0.465
Y 0.500 0.500 0.250
K 0.500 0.500 0.750
! **Total moment**: 0.0 μB/f.u.
! **SG**: P4/mmm, No. 123
! **Crystal system**: tetragonal
! **Energy above the lowest structure with this stoichiometry**: 282 meV per atom
! **Final energy**: -5.121 eV/atom
! **Energy of formation**: -526 meV/atom